The following is a PBEsol calculation of an optimized crystal structure of CsRb3Au, from Alexandria.

Properties
- Final energy: -1.62 eV per atom
- Mass density: 2.98 g/cm3
- Total magnetic moment: 0.00 μB per atom
- Formation enthalpy at 0 K: -0.032 eV/atom
- Crystal system: cubic
- Space-group type: Pm-3m (221)

Cell lengths 6.8841, 6.8841, 6.8841 Å; angles 90.00, 90.00, 90.00 degrees
Closest atoms and distances in Å follow each position.
Sites, in units of the cell vectors:
1 Cs 0.5000 0.5000 0.5000  12 Rb 4.87
2 Au 0.0000 0.0000 0.0000  6 Rb 3.44
3 Rb 0.0000 0.5000 0.0000  2 Au 3.44
4 Rb 0.0000 0.0000 0.5000  2 Au 3.44
5 Rb 0.5000 0.0000 0.0000  2 Au 3.44


The following is a PBEsol calculation of an optimized crystal structure of Sr4LaCo, from Alexandria.

Properties
- Final energy: -2.42 eV per atom
- Mass density: 3.62 g/cm3
- Total magnetic moment: 0.22 μB per atom
- Formation enthalpy at 0 K: 0.986 eV/atom
- Crystal system: cubic
- Space-group type: F-43m (216)

Cell lengths 7.0875, 7.0875, 7.0875 Å; angles 60.00, 60.00, 60.00 degrees
Closest atoms and distances in Å follow each position.
Sites, in units of the cell vectors:
1 Co 0.7500 0.7500 0.7500  12 Sr 4.15, 4 La 4.34
2 La 0.0000 0.0000 0.0000  12 Sr 4.16, 4 Co 4.34
3 Sr 0.3756 0.3756 0.3756  6 Sr 3.53-3.56
4 Sr 0.3756 0.3756 0.8733  6 Sr 3.53-3.56
5 Sr 0.8733 0.3756 0.3756  6 Sr 3.53-3.56
6 Sr 0.3756 0.8733 0.3756  6 Sr 3.53-3.56


Q: mass density of number 2 (Sr4LaCo)?
A: 3.62 g/cm3


Q: What is the final energy in the first record?
A: -1.62 eV per atom


Q: Look up the mass density of the first one.
A: 2.98 g/cm3


Q: Which formula does entry 1 have?
A: CsRb3Au